# 1
6
Lattice="0.000 3.328 3.328 3.328 0.000 3.328 3.328 3.328 0.000" Properties=species:S:1:pos:R:3 comment="ZnNi4Pt (PBE-GGA, relaxed)" delta_e_f_ev_per_atom=-0.041 relative_energy_ev_per_fu=0.604 pbc="T T T"
Zn 0.000 0.000 0.000
Ni 2.497 2.497 2.497
Ni 4.159 4.159 2.497
Ni 4.159 2.497 4.159
Ni 2.497 4.159 4.159
Pt 4.992 4.992 4.992

=====

# 2
4
Lattice="3.555 0.000 0.000 0.000 3.555 0.000 0.000 0.000 7.728" Properties=species:S:1:pos:R:3 comment="TbTmInGa (PBE-GGA, relaxed)" delta_e_f_ev_per_atom=-0.509 relative_energy_ev_per_fu=0.000 pbc="T T T"
Tb 0.000 0.000 0.000
Tm 0.000 0.000 3.612
In 1.778 1.778 5.630
Ga 1.778 1.778 1.847

=====

# 3
8
Lattice="2.062 -8.794 0.000 2.062 8.794 0.000 0.000 0.000 4.085" Properties=species:S:1:pos:R:3 comment="PmSiRh2 (PBE-GGA, relaxed)" relative_energy_ev_per_fu=0.000 pbc="T T T"
Pm 2.062 6.219 0.000
Pm 2.062 -6.219 0.000
Si 2.062 1.333 2.042
Si 2.062 -1.333 2.042
Rh 0.000 0.000 2.042
Rh 2.062 3.642 2.042
Rh 2.062 0.000 0.000
Rh 2.062 -3.642 2.042

=====

# 4
11
Lattice="7.726 -2.971 0.000 7.726 2.971 0.000 -1.639 0.000 5.830" Properties=species:S:1:pos:R:3 comment="Pu2ZrSc8 (PBE-GGA, relaxed)" delta_e_f_ev_per_atom=0.177 relative_energy_ev_per_fu=0.000 pbc="T T T"
Pu 3.598 0.000 0.479
Pu 10.214 0.000 5.351
Zr 7.726 0.000 0.000
Sc 0.824 0.000 1.215
Sc 5.766 1.502 1.850
Sc 3.513 0.000 3.704
Sc 8.046 1.502 3.980
Sc 5.766 -1.502 1.850
Sc 10.299 0.000 2.126
Sc 8.046 -1.502 3.980
Sc 12.988 0.000 4.616

=====

# 5
12
Lattice="3.023 -5.227 0.000 3.023 5.227 0.000 -1.998 0.000 11.381" Properties=species:S:1:pos:R:3 comment="Tb2Ho6Tm3Zr (PBE-GGA, relaxed)" delta_e_f_ev_per_atom=0.045 pbc="T T T"
Tb 3.023 3.483 0.000
Tb 3.023 -3.483 0.000
Ho 0.033 1.710 8.573
Ho 1.051 0.000 2.802
Ho 0.033 -1.710 8.573
Ho 4.015 1.710 2.808
Ho 2.997 0.000 8.579
Ho 4.015 -1.710 2.808
Tm -0.999 0.000 5.691
Tm 2.024 1.741 5.691
Tm 2.024 -1.741 5.691
Zr 3.023 0.000 0.000

=====

# 6
14
Lattice="6.655 0.000 0.000 0.000 6.697 0.000 -2.571 0.000 7.882" Properties=species:S:1:pos:R:3 comment="Sr2SiS4 (PBE-GGA, relaxed)" dft_energy_ev_per_cell=-72.7 pbc="T T T"
Sr 1.325 1.674 0.387
Sr 0.338 1.674 4.482
Sr 3.746 5.023 3.400
Sr 2.758 5.023 7.495
Si -0.564 5.023 6.289
Si 4.648 1.674 1.593
S -1.818 3.361 5.821
S -1.818 6.684 5.821
S 2.425 5.023 0.495
S 1.147 5.023 5.005
S 2.936 1.674 2.877
S 1.659 1.674 7.387
S 5.901 0.013 2.061
S 5.901 3.336 2.061

=====

# 7
8
Lattice="3.569 0.000 0.000 0.000 3.569 0.000 0.000 0.000 14.981" Properties=species:S:1:pos:R:3 comment="Ho4NiHg3 (PBE-GGA, relaxed)" delta_e_f_ev_per_atom=-0.451 pbc="T T T"
Ho 0.000 0.000 1.596
Ho 0.000 0.000 5.539
Ho 0.000 0.000 9.442
Ho 0.000 0.000 13.386
Ni 1.784 1.784 0.000
Hg 1.784 1.784 3.617
Hg 1.784 1.784 7.491
Hg 1.784 1.784 11.364

=====

# 8
3
Lattice="-1.986 1.986 5.444 1.986 -1.986 5.444 1.986 1.986 -5.444" Properties=species:S:1:pos:R:3 comment="PrInSb (PBE-GGA, relaxed)" dft_energy_ev_per_cell=-13.1 pbc="T T T"
Pr 0.000 0.000 0.000
In 0.000 0.000 3.388
Sb 0.000 0.000 7.389

=====

no.,density of states at the Fermi level (states/eV per atom),total magnetic moment (Bohr magnetons per cell)
1,0.940,0.00
2,0.462,0.00
3,0.334,0.00
4,1.864,12.36
5,1.250,0.00
6,0.000,0.00
7,0.773,0.00
8,1.223,0.25